No. 1
A geometry-optimized La2Ag2Sn structure, computed with PBE-GGA.

Theoretical density ... 7.1 g/cm³
Energy of formation ... -0.306 eV per atom
Offset from the most stable computed form ... 71 kJ/mol of formula units

a = 3.9115 Å, b = 3.9115 Å, c = 9.7231 Å
α = 78.40°, β = 78.40°, γ = 90.00°
Positions (direct):
La: 0.6069 0.6069 0.7862
La: 0.3931 0.3931 0.2138
Ag: 0.7500 0.2500 0.5000
Ag: 0.2500 0.7500 0.5000
Sn: 0.0000 0.0000 0.0000

No. 2
A geometry-optimized La2AgSn3 structure, computed with PBE-GGA.

Theoretical density ... 7.4 g/cm³
Energy of formation ... -0.613 eV per atom
Offset from the most stable computed form ... 0 kJ/mol of formula units

a = 4.7724 Å, b = 6.4584 Å, c = 6.3633 Å
α = 73.10°, β = 67.98°, γ = 68.32°
Positions (direct):
Sn: 0.1553 0.7969 0.8925
Sn: 0.8218 0.2188 0.1377
Sn: 0.8636 0.5932 0.6796
La: 0.5513 0.1857 0.7117
La: 0.4420 0.8042 0.3119
Ag: 0.1660 0.4013 0.2667

No. 3
A geometry-optimized La2Ag3Sn structure, computed with PBE-GGA.

Theoretical density ... 7.7 g/cm³
Energy of formation ... -0.432 eV per atom

a = 3.6749 Å, b = 4.8471 Å, c = 8.6631 Å
α = 90.00°, β = 90.00°, γ = 90.00°
Positions (direct):
Ag: 0.5000 0.0000 0.1631
Ag: 0.5000 0.5000 0.6689
Ag: 0.5000 0.0000 0.8366
Sn: 0.5000 0.5000 0.3320
La: 0.0000 0.0000 0.5074
La: 0.0000 0.5000 0.9920

No. 4
A geometry-optimized La3AgSn structure, computed with PBE-GGA.

Theoretical density ... 5.6 g/cm³
Energy of formation ... 0.024 eV per atom
Offset from the most stable computed form ... 208 kJ/mol of formula units

a = 5.7609 Å, b = 5.7609 Å, c = 5.7609 Å
α = 90.00°, β = 90.00°, γ = 90.00°
Positions (direct):
Ag: 0.0000 0.0000 0.0000
Sn: 0.5000 0.5000 0.5000
La: 0.5000 0.0000 0.0000
La: 0.0000 0.0000 0.5000
La: 0.0000 0.5000 0.0000

No. 5
A geometry-optimized La2Ag2Sn structure, computed with PBE-GGA.

Theoretical density ... 7.5 g/cm³
Energy of formation ... -0.451 eV per atom
Offset from the most stable computed form ... 1 kJ/mol of formula units

a = 4.6346 Å, b = 6.0189 Å, c = 6.0189 Å
α = 64.94°, β = 67.36°, γ = 67.36°
Positions (direct):
La: 0.7941 0.7059 0.7059
La: 0.2059 0.2941 0.2941
Sn: 0.0000 0.0000 0.0000
Ag: 0.5000 0.2831 0.7169
Ag: 0.5000 0.7169 0.2831

No. 6
A geometry-optimized La2Ag3Sn structure, computed with PBE-GGA.

Theoretical density ... 7.7 g/cm³
Energy of formation ... -0.432 eV per atom

a = 6.1678 Å, b = 6.1678 Å, c = 9.2799 Å
α = 104.43°, β = 104.43°, γ = 104.49°
Positions (direct):
La: 0.2500 0.7500 0.5000
La: 0.7500 0.2500 0.5000
La: 0.2361 0.2361 0.0000
La: 0.7639 0.7639 0.0000
Sn: 0.3357 0.3357 0.6714
Sn: 0.6643 0.6643 0.3286
Ag: 0.8335 0.3320 0.1655
Ag: 0.6680 0.1665 0.8345
Ag: 0.1665 0.6680 0.8345
Ag: 0.3320 0.8335 0.1655
Ag: 0.1670 0.1670 0.3339
Ag: 0.8330 0.8330 0.6661

No. 7
A geometry-optimized La4AgSn structure, computed with PBE-GGA.

Theoretical density ... 6.3 g/cm³
Energy of formation ... -0.254 eV per atom

a = 5.6934 Å, b = 6.6884 Å, c = 11.2531 Å
α = 90.00°, β = 104.65°, γ = 90.00°
Positions (direct):
Ag: 0.5822 0.8223 0.1645
Ag: 0.4178 0.3223 0.8355
La: 0.7130 0.5568 0.4260
La: 0.2870 0.0568 0.5740
La: 0.2870 0.5876 0.5741
La: 0.4414 0.8223 0.8828
La: 0.7130 0.0876 0.4259
La: 0.5586 0.3223 0.1172
La: 0.1159 0.8221 0.2318
La: 0.8841 0.3221 0.7682
Sn: 0.1515 0.3223 0.3031
Sn: 0.8485 0.8223 0.6969

No. 8
A geometry-optimized LaAgSn3 structure, computed with PBE-GGA.

Theoretical density ... 7.2 g/cm³
Energy of formation ... -0.361 eV per atom
Offset from the most stable computed form ... 0 kJ/mol of formula units

a = 4.6185 Å, b = 4.8234 Å, c = 12.6775 Å
α = 100.97°, β = 90.00°, γ = 90.00°
Positions (direct):
Sn: 0.0000 0.0582 0.1165
Sn: 0.0000 0.7218 0.4436
Sn: 0.0000 0.2782 0.5564
Sn: 0.0000 0.9418 0.8835
Sn: 0.5000 0.4431 0.8862
Sn: 0.5000 0.5569 0.1138
La: 0.5000 0.8325 0.6650
La: 0.5000 0.1675 0.3350
Ag: 0.0000 0.6162 0.2325
Ag: 0.0000 0.3838 0.7675

No. 9
A geometry-optimized La2Ag2Sn structure, computed with PBE-GGA.

Theoretical density ... 7.3 g/cm³
Energy of formation ... -0.435 eV per atom
Offset from the most stable computed form ... 9 kJ/mol of formula units

a = 4.6888 Å, b = 6.1977 Å, c = 10.7101 Å
α = 88.96°, β = 77.36°, γ = 67.77°
Positions (direct):
La: 0.3224 0.6996 0.6556
La: 0.9172 0.2742 0.8914
La: 0.0828 0.7258 0.1086
La: 0.6776 0.3004 0.3444
Ag: 0.3631 0.1639 0.1099
Ag: 0.6369 0.8361 0.8901
Ag: 0.9180 0.7199 0.4440
Ag: 0.0820 0.2801 0.5560
Sn: 0.6093 0.1132 0.6681
Sn: 0.3907 0.8868 0.3319

No. 10
A geometry-optimized La2AgSn8 structure, computed with PBE-GGA.

Theoretical density ... 7.3 g/cm³
Energy of formation ... -0.357 eV per atom

a = 4.8579 Å, b = 4.8579 Å, c = 12.8660 Å
α = 90.00°, β = 90.00°, γ = 90.00°
Positions (direct):
Sn: 0.0000 0.5000 0.1295
Sn: 0.5000 0.0000 0.1295
Sn: 0.5000 0.5000 0.3136
Sn: 0.5000 0.5000 0.6864
Sn: 0.5000 0.0000 0.8705
Sn: 0.5000 0.0000 0.5000
Sn: 0.0000 0.5000 0.5000
Sn: 0.0000 0.5000 0.8705
La: 0.0000 0.0000 0.6802
La: 0.0000 0.0000 0.3198
Ag: 0.0000 0.0000 0.0000

No. 11
A geometry-optimized LaAg8Sn3 structure, computed with PBE-GGA.

Theoretical density ... 8.7 g/cm³
Energy of formation ... -0.087 eV per atom

a = 5.7220 Å, b = 5.7220 Å, c = 9.1464 Å
α = 90.00°, β = 90.00°, γ = 120.00°
Positions (direct):
Ag: 0.5027 0.4973 0.7549
Ag: 0.3333 0.6667 0.4994
Ag: 0.1639 0.3277 0.2459
Ag: 0.1639 0.8361 0.2459
Ag: 0.6723 0.8361 0.2459
Ag: 0.5027 0.0053 0.7549
Ag: 0.9947 0.4973 0.7549
Ag: 0.3333 0.6667 0.0010
La: 0.0000 0.0000 0.5702
Sn: 0.0000 0.0000 0.9534
Sn: 0.6667 0.3333 0.4269
Sn: 0.6667 0.3333 0.0466

No. 12
A geometry-optimized La8Ag2Sn structure, computed with PBE-GGA.

Theoretical density ... 6.8 g/cm³
Energy of formation ... -0.233 eV per atom

a = 5.1481 Å, b = 8.3314 Å, c = 9.4250 Å
α = 113.86°, β = 105.85°, γ = 90.00°
Positions (direct):
Sn: 0.5000 0.0000 0.0000
La: 0.5900 0.4571 0.1800
La: 0.0401 0.7628 0.0802
La: 0.3209 0.0370 0.6418
La: 0.4100 0.5429 0.8200
La: 0.9599 0.2372 0.9198
La: 0.1749 0.2675 0.3498
La: 0.6791 0.9630 0.3582
La: 0.8251 0.7325 0.6502
Ag: 0.8082 0.3426 0.6163
Ag: 0.1918 0.6574 0.3837